CsHfMg14O15 | PBE | relaxed

Cell and atoms, written as extended XYZ:
```
31
Lattice="4.1746 0.0000 0.0000 0.0000 8.4544 0.0000 0.0000 0.0000 12.1277" Properties=species:S:1:pos:R:3 pbc="T T T"
Cs 0.0000 0.0000 0.0000
Hf 0.0000 4.2272 6.3120
Mg 0.0000 0.0000 6.2772
Mg 0.0000 1.9910 3.8608
Mg 0.0000 2.1219 8.6347
Mg 0.0000 4.2272 1.5928
Mg 0.0000 6.3326 8.6347
Mg 0.0000 6.4634 3.8608
Mg 2.0873 0.0000 3.8828
Mg 2.0873 0.0000 8.5483
Mg 2.0873 2.0071 6.2960
Mg 2.0873 2.0553 1.8729
Mg 2.0873 4.2272 3.8854
Mg 2.0873 4.2272 8.9191
Mg 2.0873 6.3991 1.8729
Mg 2.0873 6.4474 6.2960
O 0.0000 0.0000 4.3120
O 0.0000 2.1515 6.4106
O 0.0000 2.2797 1.8817
O 0.0000 4.2272 4.2800
O 0.0000 4.2272 8.4530
O 0.0000 6.1747 1.8817
O 0.0000 6.3029 6.4106
O 2.0873 0.0000 1.8964
O 2.0873 0.0000 6.4549
O 2.0873 2.1181 4.1601
O 2.0873 2.1471 8.5131
O 2.0873 4.2272 1.8802
O 2.0873 4.2272 6.2911
O 2.0873 6.3073 8.5131
O 2.0873 6.3363 4.1601
```

Output
Calculated total energy in eV for the cell shown: -181.535
Size of the total moment in μB/f.u.: 0.0
Fermi-level density of states in states/eV per atom: 0.02
Formation energy without anion corrections in eV per formula unit: -74.03
ρ in g cm⁻³: 3.5